Entry 1:
Below is a geometry-optimized KSb2Br structure, with properties calculated at the PBE-GGA level.

The structure belongs to space group Pm (No. 6); the cell edges are 3.7780, 4.1812 and 8.8331 Å and the angles 90.00°, 96.66° and 90.00°. Symmetry generates all atoms from K at (0.0000, 0.0000, 0.0000), Sb at (0.5983, 0.5000, 0.3421), Sb at (0.9285, 0.0000, 0.5296) and Br at (0.4568, 0.5000, 0.8358).

The value obtained for the total magnetization is 0.0 Bohr magnetons per cell. The density of states at the Fermi level is 0.21 states/eV per atom. The raw formation energy is -0.55 eV/atom. The value obtained for the relative energy among the computed polymorphs is 119 meV per atom.

Entry 2:
Below is a geometry-optimized RbCuTeI6 structure, with properties calculated at the PBE-GGA level.

The structure belongs to space group P312 (No. 149); the cell edges are 7.6309, 7.6309 and 8.2502 Å and the angles 90.00°, 90.00° and 120.00°. Symmetry generates all atoms from Rb at (0.0000, 0.0000, 0.0000), Cu at (0.3333, 0.6667, 0.5000), Te at (0.6667, 0.3333, 0.5000) and I at (0.0132, 0.3784, 0.7024).

The value obtained for the total magnetization is 0.1 Bohr magnetons per cell. The raw formation energy is -0.37 eV/atom.

Entry 3:
Below is a geometry-optimized Cs2SrSe structure, with properties calculated at the PBE-GGA level.

The structure belongs to space group R-3m (No. 166, hexagonal axes); the cell edges are 4.9446, 4.9446 and 39.9161 Å and the angles 90.00°, 90.00° and 120.00°. Symmetry generates all atoms from Cs at (0.0000, 0.0000, 0.1196), Sr at (0.0000, 0.0000, 0.0000) and Se at (0.0000, 0.0000, 0.5000).

The value obtained for the total magnetization is 0.0 Bohr magnetons per cell. The density of states at the Fermi level is 1.43 states/eV per atom. The raw formation energy is -0.47 eV/atom. The value obtained for the relative energy among the computed polymorphs is 0 meV per atom.

Entry 4:
Below is a geometry-optimized Pm5Pr4Tm4 structure, with properties calculated at the PBE-GGA level.

The structure belongs to space group I4/m (No. 87); the cell edges are 13.0728, 13.0728 and 5.1100 Å and the angles 90.00°, 90.00° and 90.00°. Symmetry generates all atoms from Pm at (0.0000, 0.0000, 0.0000), Pm at (0.0411, 0.1904, 0.5000), Pr at (0.0779, 0.3818, 0.0000) and Tm at (0.1541, 0.7688, 0.0000).

The value obtained for the total magnetization is 0.0 Bohr magnetons per cell. The density of states at the Fermi level is 1.43 states/eV per atom. For the formation energy, the calculation gives 0.02 eV/atom.

Let's list energy in order: -3.303, -2.314, -2.191, -4.654 eV/atom.